Entry 1:
Below is La2NiBiO6 after structural relaxation, with properties calculated at the PBE with a Hubbard U level.

a b c (Å): 5.7482 5.9979 10.0143
angles (deg): 90.00 123.94 90.00
With the nearest neighbours (Å) after each atom.
Space group P2_1/c (No. 14)
Asymmetric unit:
1 La 0.2292 0.0586 0.2486 [4 per cell]  4 O 2.39-2.49
2 Ni 0.0000 0.0000 0.5000 [2 per cell]  6 O 2.10-2.14
3 Bi 0.5000 0.0000 0.0000 [2 per cell]  6 O 2.26-2.27
4 O 0.1236 0.2066 0.9375 [4 per cell]  1 Ni 2.12, 1 Bi 2.26
5 O 0.2317 0.6911 0.9378 [4 per cell]  1 Ni 2.10, 1 Bi 2.26
6 O 0.3586 0.0477 0.7397 [4 per cell]  1 Ni 2.14, 1 Bi 2.27, 1 La 2.39

## Properties
calculated total energy	-136.4	eV/cell



Entry 2:
Below is LaNi4Bi3O12 after structural relaxation, with properties calculated at the PBE with a Hubbard U level.

a b c (Å): 5.4269 5.7053 7.9018
angles (deg): 91.59 90.47 90.50
With the nearest neighbours (Å) after each atom.
Space group P1 (No. 1)
Asymmetric unit:
1 La 0.0000 0.0000 0.0000 [1 per cell]  4 O 2.28-2.45
2 Ni 0.0062 0.5498 0.2462 [1 per cell]  6 O 2.06-2.17
3 Ni 0.0110 0.5637 0.7400 [1 per cell]  6 O 2.04-2.15
4 Ni 0.5150 0.0656 0.2486 [1 per cell]  5 O 2.03-2.15
5 Ni 0.5197 0.0661 0.7420 [1 per cell]  6 O 2.07-2.15
6 Bi 0.0226 0.1213 0.4786 [1 per cell]  6 O 2.26-2.50
7 Bi 0.4785 0.6360 0.4990 [1 per cell]  5 O 2.14-2.26
8 Bi 0.5263 0.5041 0.9578 [1 per cell]  6 O 2.12-2.34
9 O 0.1529 0.5962 0.9948 [1 per cell]  1 Bi 2.12, 2 Ni 2.15-2.17
10 O 0.2102 0.8543 0.3081 [1 per cell]  2 Ni 2.10, 1 Bi 2.26
11 O 0.2272 0.8448 0.6722 [1 per cell]  2 Ni 2.06-2.08, 1 Bi 2.26
12 O 0.3185 0.3723 0.3320 [1 per cell]  2 Ni 2.10-2.15, 1 Bi 2.15
13 O 0.3477 0.3893 0.6973 [1 per cell]  2 Ni 2.11, 2 Bi 2.25-2.34
14 O 0.4248 0.1401 0.0016 [1 per cell]  2 Ni 2.06-2.15, 1 Bi 2.18
15 O 0.6239 0.9907 0.4923 [1 per cell]  2 Ni 2.07-2.09, 2 Bi 2.17-2.29
16 O 0.6912 0.7114 0.1631 [1 per cell]  1 Ni 2.06, 1 Bi 2.16
17 O 0.7060 0.7641 0.8042 [1 per cell]  2 Ni 2.07-2.08, 1 Bi 2.17
18 O 0.8088 0.2878 0.8223 [1 per cell]  2 Ni 2.04-2.09, 1 Bi 2.24
19 O 0.8530 0.2154 0.2232 [1 per cell]  2 Ni 2.03-2.08
20 O 0.8558 0.5274 0.4960 [1 per cell]  2 Ni 2.10-2.15, 1 Bi 2.14

## Properties
calculated total energy	-112.3	eV/cell